VASP calculation (GGA+U) on a relaxed BeInCoNF crystal.

Cell: 3.197 3.001 7.227 Å, 90.09 95.29 90.00°
Atoms (fractional coordinates):
Be 0.429 0.130 0.138
N 0.460 0.629 0.042
F 0.275 0.131 0.334
Co 0.919 0.629 0.884
In 0.373 0.128 0.645

Output
crystal system = triclinic
calculated total energy = -5.115 eV per atom
density of states at the Fermi level = 0.83 states/eV/f.u.
space-group type = P1 (1)
energy above the most stable polymorph in this dataset = 10 meV per atom